1.
Te2RuBr: optimized geometry, PBEsol.

Output
The value obtained for the total energy is -4.15 eV per atom. As for the crystal system: tetragonal. For the raw formation energy, the calculation gives 0.628 eV/atom. As for the energy above the lowest structure with this stoichiometry: 0.763 eV per atom.

Cell lengths 3.155, 5.109, 5.109 Å; angles 90.00, 90.00, 90.00 degrees
Fractional positions:
Te 0.000 0.500 0.000
Te 0.000 0.000 0.500
Ru 0.500 0.000 0.000
Br 0.500 0.500 0.500



2.
Te2RuBr: optimized geometry, PBEsol.

Output
The value obtained for the total energy is -4.02 eV per atom. As for the crystal system: cubic. For the raw formation energy, the calculation gives 0.752 eV/atom. As for the energy above the lowest structure with this stoichiometry: 0.887 eV per atom.

Cell lengths 4.929, 4.929, 4.929 Å; angles 60.00, 60.00, 60.00 degrees
Fractional positions:
Te 0.000 0.000 0.000
Te 0.750 0.750 0.750
Br 0.500 0.500 0.500
Ru 0.250 0.250 0.250



raw formation energy of number 2 (Te2RuBr)?
0.752 eV/atom



Which of these has the highest energy above the lowest structure with this stoichiometry?
number 2



What did the first record say?
Te2RuBr: optimized geometry, PBEsol.

Output
The value obtained for the total energy is -4.15 eV per atom. As for the crystal system: tetragonal. For the raw formation energy, the calculation gives 0.628 eV/atom. As for the energy above the lowest structure with this stoichiometry: 0.763 eV per atom.

Cell lengths 3.155, 5.109, 5.109 Å; angles 90.00, 90.00, 90.00 degrees
Fractional positions:
Te 0.000 0.500 0.000
Te 0.000 0.000 0.500
Ru 0.500 0.000 0.000
Br 0.500 0.500 0.500